Here is crystalline CrRu at its relaxed geometry from Alexandria. Energies are from GGA-PBE.

Lattice parameters (Å, degrees): 4.9828 4.9828 6.2650 75.59 75.59 31.05
With the nearest neighbours (Å) after each atom.
Sites, in units of the cell vectors:
1 Cr 0.6064 0.6064 0.2718  7 Ru 2.57-2.65, 5 Cr 2.60-2.73
2 Ru 0.2747 0.2747 0.9471  7 Cr 2.58-2.61, 5 Ru 2.63-2.71
3 Ru 0.3305 0.3305 0.3371  7 Cr 2.57-2.67, 5 Ru 2.63-2.67
4 Cr 0.6705 0.6705 0.6716  7 Ru 2.58-2.64, 5 Cr 2.64-2.73
5 Ru 0.9532 0.9532 0.6083  6 Cr 2.58-2.64, 6 Ru 2.66-2.71
6 Cr 0.9979 0.9979 0.9975  6 Ru 2.58-2.67, 6 Cr 2.60-2.67

Summary:
DFT total energy: -9.35 eV per atom
density of states at the Fermi level: 7.18 states/eV per cell